The following is a DFT calculation (PBE-GGA) of crystalline BeCoPb2 at its relaxed geometry.

Summary:
Space group: Cm (8)
Calculated formation energy: 242 meV/atom
E: -4.320 eV/atom

a b c (Å): 3.7331 3.7331 7.0883
angles (deg): 103.62 103.62 59.33
Fractional positions:
Be (0.0000, 0.0000, 0.0000)
Co (0.3310, 0.3310, 0.9969)
Pb (0.5819, 0.5819, 0.7206)
Pb (0.7476, 0.7476, 0.2751)